Entry 1:
Cr2CdPbCl8 | PBE-GGA | optimized geometry

Cell: 6.1381 6.0216 8.6918 Å, 83.56 84.26 85.77°
Sites, in units of the cell vectors:
Cl 0.1881 0.7625 0.7749
Cl 0.8236 0.2482 0.7647
Cl 0.3348 0.2786 0.9887
Cl 0.1764 0.7518 0.2353
Cl 0.6652 0.7214 0.0113
Cl 0.3492 0.2946 0.4579
Cl 0.6508 0.7054 0.5421
Cl 0.8119 0.2375 0.2251
Cd 0.0000 0.0000 0.0000
Cr 0.5076 0.5086 0.7760
Cr 0.4924 0.4914 0.2240
Pb 0.0000 0.0000 0.5000

Calculated values
V: 26.42 Å³ per atom
size of the total moment: 8.00 μB per formula unit
calculated total energy: -50.4 eV for the cell shown
space group: P-1, No. 2


Entry 2:
Rb3Cr2CdCl9 | PBE-GGA | optimized geometry

Cell: 7.2120 7.2120 8.8440 Å, 90.00 90.00 120.00°
Sites, in units of the cell vectors:
Rb 0.0000 0.0000 0.0000
Rb 0.6667 0.3333 0.3343
Rb 0.3333 0.6667 0.6657
Cl 0.8279 0.1721 0.6767
Cl 0.1721 0.8279 0.3233
Cl 0.6558 0.8279 0.3233
Cl 0.3442 0.1721 0.6767
Cl 0.5000 0.5000 0.0000
Cl 0.8279 0.6558 0.6767
Cl 0.1721 0.3442 0.3233
Cl 0.0000 0.5000 0.0000
Cl 0.5000 0.0000 0.0000
Cd 0.0000 0.0000 0.5000
Cr 0.3333 0.6667 0.1579
Cr 0.6667 0.3333 0.8421

Calculated values
V: 26.56 Å³ per atom
size of the total moment: 8.00 μB per formula unit
calculated total energy: -60.7 eV for the cell shown
space group: P-3m1, No. 164


Entry 3:
Rb3CrCd2Cl9 | PBE-GGA | optimized geometry

Cell: 7.3409 7.3409 9.0090 Å, 90.00 90.00 120.00°
Sites, in units of the cell vectors:
Cr 0.0000 0.0000 0.5000
Rb 0.6667 0.3333 0.3315
Rb 0.3333 0.6667 0.6685
Rb 0.0000 0.0000 0.0000
Cl 0.1603 0.8397 0.3426
Cl 0.5000 0.5000 0.0000
Cl 0.8397 0.1603 0.6574
Cl 0.6794 0.8397 0.3426
Cl 0.5000 0.0000 0.0000
Cl 0.8397 0.6794 0.6574
Cl 0.0000 0.5000 0.0000
Cl 0.3206 0.1603 0.6574
Cl 0.1603 0.3206 0.3426
Cd 0.6667 0.3333 0.8252
Cd 0.3333 0.6667 0.1748

Calculated values
V: 28.03 Å³ per atom
size of the total moment: 4.00 μB per formula unit
calculated total energy: -52.1 eV for the cell shown
space group: P-3m1, No. 164


Entry 4:
RbCrCd2Cl8 | PBE-GGA | optimized geometry

Cell: 6.3795 6.3794 9.5277 Å, 86.37 86.37 67.70°
Sites, in units of the cell vectors:
Cl 0.2046 0.7405 0.1779
Cl 0.7809 0.7809 0.9708
Cl 0.3125 0.3125 0.5639
Cl 0.7954 0.2595 0.8221
Cl 0.2191 0.2191 0.0292
Cl 0.2595 0.7954 0.8221
Cl 0.6875 0.6875 0.4361
Cl 0.7405 0.2046 0.1779
Cd 0.3603 0.3603 0.8064
Cd 0.6397 0.6397 0.1936
Cr 0.0000 0.0000 0.0000
Rb 0.0000 0.0000 0.5000

Calculated values
V: 29.81 Å³ per atom
size of the total moment: 3.00 μB per formula unit
calculated total energy: -41.7 eV for the cell shown
space group: C2/m, No. 12


> The lowest calculated total energy belongs to which entry?

Rb3Cr2CdCl9


> The lowest calculated total energy belongs to which entry?

Rb3Cr2CdCl9


> What is the calculated total energy in the second record?

-60.7 eV for the cell shown


What did the third record say?
Rb3CrCd2Cl9 | PBE-GGA | optimized geometry

Cell: 7.3409 7.3409 9.0090 Å, 90.00 90.00 120.00°
Sites, in units of the cell vectors:
Cr 0.0000 0.0000 0.5000
Rb 0.6667 0.3333 0.3315
Rb 0.3333 0.6667 0.6685
Rb 0.0000 0.0000 0.0000
Cl 0.1603 0.8397 0.3426
Cl 0.5000 0.5000 0.0000
Cl 0.8397 0.1603 0.6574
Cl 0.6794 0.8397 0.3426
Cl 0.5000 0.0000 0.0000
Cl 0.8397 0.6794 0.6574
Cl 0.0000 0.5000 0.0000
Cl 0.3206 0.1603 0.6574
Cl 0.1603 0.3206 0.3426
Cd 0.6667 0.3333 0.8252
Cd 0.3333 0.6667 0.1748

Calculated values
V: 28.03 Å³ per atom
size of the total moment: 4.00 μB per formula unit
calculated total energy: -52.1 eV for the cell shown
space group: P-3m1, No. 164